Cd4SF6, relaxed, DFT PBEsol; theoretical density = 5.816 g/cm³; volume = 15.46 Å³ per atom; energy relative to the elements, uncorrected = -20.669 eV per formula unit
1.0
5.505 0.000 0.000
0.000 7.861 0.000
0.000 0.000 7.861
S Cd F
2 8 12
direct
0.500 0.000 0.000
0.000 0.500 0.500
0.266 0.000 0.264
0.234 0.500 0.236
0.234 0.500 0.764
0.734 0.264 0.000
0.734 0.736 0.000
0.266 0.000 0.736
0.766 0.764 0.500
0.766 0.236 0.500
0.500 0.716 0.284
0.000 0.216 0.784
0.974 0.500 0.000
0.000 0.216 0.216
0.500 0.284 0.716
0.026 0.000 0.500
0.526 0.000 0.500
0.000 0.784 0.216
0.500 0.284 0.284
0.474 0.500 0.000
0.500 0.716 0.716
0.000 0.784 0.784

=====

Ho2Al3Si2, relaxed, DFT PBEsol; theoretical density = 6.029 g/cm³; volume = 18.37 Å³ per atom; energy relative to the elements, uncorrected = -4.141 eV per formula unit
1.0
4.006 0.000 0.000
-2.003 5.012 0.014
0.000 -1.232 6.402
Al Ho Si
3 2 2
direct
0.000 0.000 0.500
0.695 0.390 0.367
0.305 0.610 0.633
0.381 0.762 0.177
0.619 0.238 0.823
0.906 0.813 0.861
0.094 0.187 0.139

=====

RbV3O8, relaxed, DFT PBEsol; theoretical density = 3.683 g/cm³; volume = 13.76 Å³ per atom; energy relative to the elements, uncorrected = -27.953 eV per formula unit
1.0
-1.490 -4.299 -2.049
6.218 1.289 -4.726
4.942 -4.259 5.341
O V Rb
16 6 2
direct
0.116 0.726 0.898
0.682 0.504 0.912
0.571 0.828 0.437
0.884 0.576 0.250
0.682 0.504 0.588
0.585 0.751 0.750
0.571 0.828 0.063
0.415 0.249 0.250
0.116 0.726 0.602
0.318 0.496 0.088
0.318 0.496 0.412
0.884 0.274 0.398
0.429 0.172 0.563
0.116 0.424 0.750
0.429 0.172 0.937
0.884 0.274 0.102
0.075 0.428 0.250
0.559 0.319 0.445
0.441 0.681 0.945
0.925 0.572 0.750
0.559 0.319 0.055
0.441 0.681 0.555
0.942 0.062 0.750
0.058 0.938 0.250

=====

MgIn2Te4, relaxed, DFT PBEsol; theoretical density = 5.261 g/cm³; volume = 34.47 Å³ per atom; energy relative to the elements, uncorrected = -3.030 eV per formula unit
1.0
-2.446 2.051 5.344
-5.605 -2.039 -1.783
5.188 -5.520 0.868
In Mg Te
2 1 4
direct
0.750 0.250 0.500
0.500 0.500 0.000
0.000 0.000 0.000
0.140 0.639 0.724
0.584 0.084 0.724
0.916 0.860 0.276
0.361 0.416 0.276